The following is a PBEsol calculation of FeB2S after structural relaxation, from the Alexandria database.

Structure (CIF):
```
data_FeB2S
_chemical_formula_sum 'Fe4 B8 S4'
_cell_length_a 4.6664
_cell_length_b 4.6664
_cell_length_c 8.0231
_cell_angle_alpha 90.00
_cell_angle_beta 90.00
_cell_angle_gamma 90.00
_symmetry_space_group_name_H-M 'I -4 2 d'
_symmetry_Int_Tables_number 122
_symmetry_space_group_name_Hall 'I -4 2bw'
loop_
_atom_site_label
_atom_site_fract_x
_atom_site_fract_y
_atom_site_fract_z
_atom_site_occupancy
Fe1 0.0000 0.0000 0.0000 1
B1 0.2396 0.2500 0.6250 1
S1 0.0000 0.0000 0.5000 1
```

Calculated values
Magnetic moment ... 3.95 μB/cell
Uncorrected formation energy ... 0.4879 eV per atom
E ... -6.357 eV per atom

=====

The following is a PBEsol calculation of Zn2InCl after structural relaxation, from the Alexandria database.

Structure (CIF):
```
data_Zn2InCl
_chemical_formula_sum 'Zn4 In2 Cl2'
_cell_length_a 3.1518
_cell_length_b 5.3909
_cell_length_c 9.3953
_cell_angle_alpha 90.00
_cell_angle_beta 90.00
_cell_angle_gamma 90.00
_symmetry_space_group_name_H-M 'I m m 2'
_symmetry_Int_Tables_number 44
loop_
_symmetry_equiv_pos_as_xyz
'x,y,z'
'-x,-y,z'
'-x,y,z'
'x,-y,z'
'x+1/2,y+1/2,z+1/2'
'-x+1/2,-y+1/2,z+1/2'
'-x+1/2,y+1/2,z+1/2'
'x+1/2,-y+1/2,z+1/2'
loop_
_atom_site_label
_atom_site_fract_x
_atom_site_fract_y
_atom_site_fract_z
_atom_site_occupancy
Zn1 0.0000 0.0000 0.0000 1
Zn2 0.0000 0.5000 0.2862 1
In1 0.0000 0.0000 0.5208 1
Cl1 0.0000 0.5000 0.7089 1
```

Calculated values
E above lowest polymorph ... 0.032 eV per atom
Magnetic moment ... 0.00 μB/cell
Uncorrected formation energy ... -0.0787 eV per atom
E ... -2.117 eV per atom

=====

The following is a PBEsol calculation of LiYIn2 after structural relaxation, from the Alexandria database.

Structure (CIF):
```
data_LiYIn2
_chemical_formula_sum 'Li1 Y1 In2'
_cell_length_a 3.4642
_cell_length_b 3.4642
_cell_length_c 7.3105
_cell_angle_alpha 90.00
_cell_angle_beta 90.00
_cell_angle_gamma 90.00
_symmetry_space_group_name_H-M 'P 4/m m m'
_symmetry_Int_Tables_number 123
_symmetry_space_group_name_Hall '-P 4 2'
loop_
_atom_site_label
_atom_site_fract_x
_atom_site_fract_y
_atom_site_fract_z
_atom_site_occupancy
Li1 0.0000 0.0000 0.0000 1
Y1 0.0000 0.0000 0.5000 1
In1 0.5000 0.5000 0.2118 1
```

Calculated values
E_form ... -0.454 eV/atom
Magnetic moment ... 0.10 μB/cell
E ... -4.143 eV per atom

=====

The following is a PBEsol calculation of Co3TeP after structural relaxation, from the Alexandria database.

Structure (CIF):
```
data_Co3TeP
_chemical_formula_sum 'Co3 Te1 P1'
_cell_length_a 4.5178
_cell_length_b 4.5178
_cell_length_c 4.5178
_cell_angle_alpha 90.00
_cell_angle_beta 90.00
_cell_angle_gamma 90.00
_symmetry_space_group_name_H-M 'P m -3 m'
_symmetry_Int_Tables_number 221
_symmetry_space_group_name_Hall '-P 4 2 3'
loop_
_atom_site_label
_atom_site_fract_x
_atom_site_fract_y
_atom_site_fract_z
_atom_site_occupancy
Co1 0.0000 0.0000 0.5000 1
Te1 0.0000 0.0000 0.0000 1
P1 0.5000 0.5000 0.5000 1
```

Calculated values
Magnetic moment ... 1.90 μB/cell
Uncorrected formation energy ... 1.4697 eV per atom
E ... -5.036 eV per atom

=====

The following is a PBEsol calculation of Sm2AgRh after structural relaxation, from the Alexandria database.

Structure (CIF):
```
data_Sm2AgRh
_chemical_formula_sum 'Sm8 Ag4 Rh4'
_cell_length_a 7.0610
_cell_length_b 7.0610
_cell_length_c 7.0610
_cell_angle_alpha 90.00
_cell_angle_beta 90.00
_cell_angle_gamma 90.00
_symmetry_space_group_name_H-M 'F m -3 m'
_symmetry_Int_Tables_number 225
_symmetry_space_group_name_Hall '-F 4 2 3'
loop_
_atom_site_label
_atom_site_fract_x
_atom_site_fract_y
_atom_site_fract_z
_atom_site_occupancy
Sm1 0.2500 0.2500 0.2500 1
Ag1 0.0000 0.0000 0.0000 1
Rh1 0.0000 0.0000 0.5000 1
```

Calculated values
E_form ... -0.459 eV/atom
Magnetic moment ... 0.00 μB/cell
E ... -5.868 eV per atom

=====

The following is a PBEsol calculation of Tl2SCl after structural relaxation, from the Alexandria database.

Structure (CIF):
```
data_Tl2SCl
_chemical_formula_sum 'Tl8 S4 Cl4'
_cell_length_a 7.2226
_cell_length_b 7.2226
_cell_length_c 7.2226
_cell_angle_alpha 90.00
_cell_angle_beta 90.00
_cell_angle_gamma 90.00
_symmetry_space_group_name_H-M 'F m -3 m'
_symmetry_Int_Tables_number 225
_symmetry_space_group_name_Hall '-F 4 2 3'
loop_
_atom_site_label
_atom_site_fract_x
_atom_site_fract_y
_atom_site_fract_z
_atom_site_occupancy
Tl1 0.2500 0.2500 0.2500 1
S1 0.0000 0.0000 0.0000 1
Cl1 0.0000 0.0000 0.5000 1
```

Calculated values
Magnetic moment ... 0.00 μB/cell
Uncorrected formation energy ... -0.4036 eV per atom
E ... -3.317 eV per atom

=====

The following is a PBEsol calculation of CoAs2Rh after structural relaxation, from the Alexandria database.

Structure (CIF):
```
data_CoAs2Rh
_chemical_formula_sum 'Co2 As4 Rh2'
_cell_length_a 2.8529
_cell_length_b 3.5250
_cell_length_c 11.3754
_cell_angle_alpha 90.00
_cell_angle_beta 90.00
_cell_angle_gamma 90.00
_symmetry_space_group_name_H-M 'I m m 2'
_symmetry_Int_Tables_number 44
loop_
_symmetry_equiv_pos_as_xyz
'x,y,z'
'-x,-y,z'
'-x,y,z'
'x,-y,z'
'x+1/2,y+1/2,z+1/2'
'-x+1/2,-y+1/2,z+1/2'
'-x+1/2,y+1/2,z+1/2'
'x+1/2,-y+1/2,z+1/2'
loop_
_atom_site_label
_atom_site_fract_x
_atom_site_fract_y
_atom_site_fract_z
_atom_site_occupancy
Co1 0.0000 0.0000 0.0000 1
As1 0.0000 0.0000 0.4371 1
As2 0.0000 0.5000 0.6722 1
Rh1 0.0000 0.5000 0.2826 1
```

Calculated values
E_form ... -0.181 eV/atom
E above lowest polymorph ... 0.000 eV per atom
Magnetic moment ... 0.00 μB/cell
E ... -6.703 eV per atom

=====

The following is a PBEsol calculation of AlNi3 after structural relaxation, from the Alexandria database.

Structure (CIF):
```
data_AlNi3
_chemical_formula_sum 'Al1 Ni3'
_cell_length_a 3.5156
_cell_length_b 3.5156
_cell_length_c 3.5156
_cell_angle_alpha 90.00
_cell_angle_beta 90.00
_cell_angle_gamma 90.00
_symmetry_space_group_name_H-M 'P m -3 m'
_symmetry_Int_Tables_number 221
_symmetry_space_group_name_Hall '-P 4 2 3'
loop_
_atom_site_label
_atom_site_fract_x
_atom_site_fract_y
_atom_site_fract_z
_atom_site_occupancy
Al1 0.0000 0.0000 0.0000 1
Ni1 0.0000 0.5000 0.5000 1
```

Calculated values
E_form ... -0.445 eV/atom
Magnetic moment ... 0.68 μB/cell
E ... -6.086 eV per atom

=====

The following is a PBEsol calculation of RbBe3Cr after structural relaxation, from the Alexandria database.

Structure (CIF):
```
data_RbBe3Cr
_chemical_formula_sum 'Rb1 Be3 Cr1'
_cell_length_a 4.9563
_cell_length_b 4.9563
_cell_length_c 4.9563
_cell_angle_alpha 90.00
_cell_angle_beta 90.00
_cell_angle_gamma 90.00
_symmetry_space_group_name_H-M 'P m -3 m'
_symmetry_Int_Tables_number 221
_symmetry_space_group_name_Hall '-P 4 2 3'
loop_
_atom_site_label
_atom_site_fract_x
_atom_site_fract_y
_atom_site_fract_z
_atom_site_occupancy
Rb1 0.0000 0.0000 0.0000 1
Be1 0.0000 0.0000 0.5000 1
Cr1 0.5000 0.5000 0.5000 1
```

Calculated values
E_form ... 2.792 eV/atom
Magnetic moment ... 4.43 μB/cell
E ... -1.862 eV per atom

=====

The following is a PBEsol calculation of TlBI3 after structural relaxation, from the Alexandria database.

Structure (CIF):
```
data_TlBI3
_chemical_formula_sum 'Tl1 B1 I3'
_cell_length_a 5.2195
_cell_length_b 5.2195
_cell_length_c 5.2195
_cell_angle_alpha 90.00
_cell_angle_beta 90.00
_cell_angle_gamma 90.00
_symmetry_space_group_name_H-M 'P m -3 m'
_symmetry_Int_Tables_number 221
_symmetry_space_group_name_Hall '-P 4 2 3'
loop_
_atom_site_label
_atom_site_fract_x
_atom_site_fract_y
_atom_site_fract_z
_atom_site_occupancy
Tl1 0.0000 0.0000 0.0000 1
B1 0.5000 0.5000 0.5000 1
I1 0.0000 0.5000 0.5000 1
```

Calculated values
Magnetic moment ... 0.00 μB/cell
Uncorrected formation energy ... 0.2829 eV per atom
E ... -2.707 eV per atom